--- P ---
# LaMo2Cl

A crystal of LaMo2Cl relaxed with PBEsol (meta-GGA SCAN, Alexandria via LeMat-Bulk).

Unit cell a=3.2771 b=4.2862 c=6.1965 alpha=110.12 beta=105.18 gamma=90.42
Fractional positions:
1 Cl 0.5000 0.5000 0.0000
2 Mo 0.0000 0.0000 0.5000
3 La 0.0000 0.0000 0.0000
4 Mo 0.5000 0.5000 0.5000

Calculated values
Calculated volume in Å³/f.u.: 78.4

--- Q ---
# LaMo2Cl

A crystal of LaMo2Cl relaxed with PBEsol (meta-GGA SCAN, Alexandria via LeMat-Bulk).

Unit cell a=4.6284 b=4.6284 c=4.6284 alpha=60.00 beta=60.00 gamma=60.00
Fractional positions:
1 Cl 0.0000 0.0000 0.0000
2 Mo 0.2500 0.2500 0.2500
3 La 0.5000 0.5000 0.5000
4 Mo 0.7500 0.7500 0.7500

Calculated values
Calculated volume in Å³/f.u.: 70.1

It is P that is most stable; the runner-up trails by 98.5 kJ/mol of atoms.